1.
This record from Alexandria describes MnZnBr2 at its PBEsol-relaxed geometry. The functional is SCAN.

a b c (Å): 3.3067 3.3067 8.7651
angles (deg): 90.00 90.00 90.00
Space group P4/mmm (No. 123)
Symmetry-distinct sites (fractional):
Mn 0.0000 0.0000 0.0000 [1 per cell]
Zn 0.0000 0.0000 0.5000 [1 per cell]
Br 0.5000 0.5000 0.1845 [2 per cell]

Calculated values
Uncorrected energy = -71.91 eV for the cell shown
D(E_F) = 0.64 states/eV/f.u.
Energy relative to the elements, uncorrected = -0.30 eV/atom
Volume = 23.96 Å³/atom
Energy relative to the lowest polymorph listed for this composition = 122 meV/atom



2.
This record from Alexandria describes La2TaSi at its PBEsol-relaxed geometry. The functional is SCAN.

a b c (Å): 7.0789 7.0789 7.0789
angles (deg): 90.00 90.00 90.00
Space group F-43m (No. 216)
Symmetry-distinct sites (fractional):
La 0.0000 0.0000 0.0000 [4 per cell]
La 0.2500 0.2500 0.2500 [4 per cell]
Ta 0.2500 0.2500 0.7500 [4 per cell]
Si 0.0000 0.0000 0.5000 [4 per cell]

Calculated values
Uncorrected energy = -645.87 eV for the cell shown
D(E_F) = 5.07 states/eV/f.u.
Energy relative to the elements, uncorrected = 0.34 eV/atom
Volume = 22.17 Å³/atom